No. 1
SrIr4 | Alexandria | GGA-PBE | relaxed; energy above the lowest structure with this stoichiometry = 0.9581 eV per atom; DOS(E_F) = 8.47 states/eV per cell; calculated formation energy = 1554 kJ/mol of formula units; total DFT energy (no corrections) = -21.02 eV per cell; total magnetization = 0.747 μB/atom
1.0
4.837 0.000 0.000
0.000 4.837 0.000
0.000 0.000 4.837
Sr Ir
1 4
Direct
0.500 0.500 0.500 Sr
0.000 0.000 0.000 Ir
0.500 0.000 0.500 Ir
0.000 0.500 0.500 Ir
0.500 0.500 0.000 Ir

---

No. 2
Sr4Ir | Alexandria | GGA-PBE | relaxed; energy above the lowest structure with this stoichiometry = 0.0000 eV per atom; DOS(E_F) = 7.85 states/eV per cell; calculated formation energy = -92 kJ/mol of formula units; total DFT energy (no corrections) = -33.08 eV per cell; total magnetization = 0.000 μB/atom
1.0
-2.825 2.753 5.841
7.735 1.772 2.908
3.568 7.548 -1.835
Sr Ir
8 2
Direct
0.751 0.829 0.843 Sr
0.771 0.340 0.321 Sr
0.249 0.171 0.157 Sr
0.250 0.672 0.157 Sr
0.229 0.660 0.679 Sr
0.272 0.160 0.678 Sr
0.750 0.328 0.843 Sr
0.728 0.840 0.322 Sr
0.000 0.500 0.000 Ir
0.500 0.000 0.000 Ir

---

No. 3
Sr2Ir | Alexandria | GGA-PBE | relaxed; DOS(E_F) = 4.94 states/eV per cell; calculated formation energy = -30 kJ/mol of formula units; total DFT energy (no corrections) = -37.60 eV per cell; total magnetization = 0.000 μB/atom
1.0
4.065 -7.041 0.000
4.065 7.041 0.000
0.000 0.000 4.629
Sr Ir
6 3
Direct
0.258 0.000 0.000 Sr
0.000 0.258 0.000 Sr
0.742 0.742 0.000 Sr
0.587 0.000 0.500 Sr
0.000 0.587 0.500 Sr
0.413 0.413 0.500 Sr
0.333 0.667 0.000 Ir
0.667 0.333 0.000 Ir
0.000 0.000 0.500 Ir